First-principles (PBE-GGA) data for crystalline Ta3Nb4W4 at its relaxed geometry, as listed in Alexandria via LeMat-Bulk.

Cell: 2.8399 4.5959 14.9330 Å, 81.00 82.34 89.90°
Positions (direct):
Nb: 0.0952 0.8171 0.3662
Nb: 0.7177 0.5464 0.9067
Nb: 0.2824 0.4536 0.0933
Nb: 0.9048 0.1829 0.6338
W: 0.3623 0.2722 0.4559
W: 0.6377 0.7278 0.5441
W: 0.4639 0.0913 0.8164
W: 0.5361 0.9087 0.1836
Ta: 0.1895 0.6374 0.7250
Ta: 0.0000 0.0000 0.0000
Ta: 0.8106 0.3627 0.2750

**N(E_F)**: 1.066 states/eV per atom
**Energy relative to the elements**: -0.05 eV per atom

=====

First-principles (PBE-GGA) data for crystalline Ta2Nb4W3 at its relaxed geometry, as listed in Alexandria via LeMat-Bulk.

Cell: 4.6316 4.6318 8.4325 Å, 90.00 90.00 60.00°
Positions (direct):
Nb: 0.6667 0.6667 0.8893
Nb: 0.0000 0.0000 0.6658
Nb: 0.3333 0.3333 0.1107
Nb: 0.0000 0.0000 0.3342
Ta: 0.6666 0.6667 0.2268
Ta: 0.3334 0.3333 0.7732
W: 0.6667 0.6666 0.5538
W: 0.3333 0.3334 0.4462
W: 0.0000 0.0000 0.0000

**N(E_F)**: 1.188 states/eV per atom
**Energy relative to the elements**: -0.04 eV per atom

=====

First-principles (PBE-GGA) data for crystalline Ta2Nb3W3 at its relaxed geometry, as listed in Alexandria via LeMat-Bulk.

Cell: 3.2649 4.6500 9.5692 Å, 104.06 99.82 90.00°
Positions (direct):
Ta: 0.7472 0.2472 0.4943
Ta: 0.2528 0.7528 0.5057
Nb: 0.6227 0.6227 0.2454
Nb: 0.3773 0.3773 0.7546
Nb: 0.5000 0.0000 0.0000
W: 0.8750 0.8750 0.7500
W: 0.1250 0.1250 0.2500
W: 0.0000 0.5000 0.0000

**N(E_F)**: 0.959 states/eV per atom
**Energy relative to the elements**: -0.05 eV per atom